Below is a relaxed CaYF2 crystal, with properties calculated at the GGA-PBE level.

Results
Raw formation energy ... -2.72 eV per atom
V ... 20.30 Å³/atom
Crystal system ... trigonal

a b c (Å): 6.664 6.664 6.664
angles (deg): 33.70 33.70 33.70
Site moments in Bohr magnetons follow the coordinates.
Element x y z (fractional)
1 Y 0.000 0.000 0.000  0.30
2 Ca 0.500 0.500 0.500  0.07
3 F 0.877 0.877 0.877  0.02
4 F 0.123 0.123 0.123  0.02